# 1
Pr3Sm2Sc | PBE | relaxed

Cell and atoms, written as CIF:
```
data_Pr3Sm2Sc
_chemical_formula_sum 'Pr6 Sm4 Sc2'
_cell_length_a 8.490
_cell_length_b 3.713
_cell_length_c 12.848
_cell_angle_alpha 90.00
_cell_angle_beta 90.12
_cell_angle_gamma 90.00
_symmetry_space_group_name_H-M 'P 1 21/m 1'
_symmetry_Int_Tables_number 11
loop_
_symmetry_equiv_pos_as_xyz
'x,y,z'
'-x,-y,-z'
'-x,y+1/2,-z'
'x,-y+1/2,z'
loop_
_atom_site_label
_atom_site_fract_x
_atom_site_fract_y
_atom_site_fract_z
Pr1 0.080 0.250 0.112
Pr2 0.343 0.750 0.561
Pr3 0.398 0.750 0.249
Sm1 0.078 0.250 0.389
Sm2 0.347 0.750 0.943
Sc1 0.190 0.250 0.752
```

Results
ΔE to the lowest computed polymorph (eV per atom): 0.009
DOS(E_F) (states/eV per atom): 1.504
ΔE_f (eV per atom): 0.049
M_tot (μB per atom): 0.00



# 2
Ti6Al6In | PBE | relaxed

Cell and atoms, written as CIF:
```
data_Ti6Al6In
_chemical_formula_sum 'Ti6 Al6 In1'
_cell_length_a 5.2931
_cell_length_b 5.2931
_cell_length_c 9.3544
_cell_angle_alpha 90.00
_cell_angle_beta 90.00
_cell_angle_gamma 120.00
_symmetry_space_group_name_H-M 'P 6/m m m'
_symmetry_Int_Tables_number 191
_symmetry_space_group_name_Hall '-P 6 2'
loop_
_atom_site_label
_atom_site_fract_x
_atom_site_fract_y
_atom_site_fract_z
Ti1 0.0000 0.0000 0.1279
Ti2 0.3333 0.6667 0.0000
Ti3 0.3333 0.6667 0.5000
Al1 0.0000 0.5000 0.2505
In1 0.0000 0.0000 0.5000
```

Results
DOS(E_F) (states/eV per atom): 0.710
ΔE_f (eV per atom): -0.211
M_tot (μB per atom): 0.10



# 3
RbHg2OsAu | PBE | relaxed

Cell and atoms, written as CIF:
```
data_RbHg2OsAu
_chemical_formula_sum 'Rb1 Hg2 Os1 Au1'
_cell_length_a 5.355
_cell_length_b 5.355
_cell_length_c 5.129
_cell_angle_alpha 90.00
_cell_angle_beta 90.00
_cell_angle_gamma 90.00
_symmetry_space_group_name_H-M 'P 4/m m m'
_symmetry_Int_Tables_number 123
_symmetry_space_group_name_Hall '-P 4 2'
loop_
_atom_site_label
_atom_site_fract_x
_atom_site_fract_y
_atom_site_fract_z
Rb1 0.000 0.000 0.000
Hg1 0.000 0.500 0.500
Os1 0.500 0.500 0.500
Au1 0.500 0.500 0.000
```

Results
DOS(E_F) (states/eV per atom): 0.780
ΔE_f (eV per atom): 0.378
M_tot (μB per atom): 0.00